1.
# TiInGaPt2 meta-GGA SCAN single point on PBEsol structure
data_TiInGaPt2
_chemical_formula_sum 'Ti1 In1 Ga1 Pt2'
_space_group_name_H-M_alt 'P 1'
_space_group_IT_number 1
_cell_length_a 4.5888
_cell_length_b 4.5888
_cell_length_c 4.8112
_cell_angle_alpha 90.00
_cell_angle_beta 90.00
_cell_angle_gamma 90.00
loop_
_space_group_symop_operation_xyz
'x,y,z'
loop_
_atom_site_label
_atom_site_fract_x
_atom_site_fract_y
_atom_site_fract_z
_atom_site_occupancy
Ti1 0.0000 0.0000 0.0000 1
In1 0.5000 0.5000 0.0000 1
Ga1 0.5000 0.5000 0.5000 1
Pt1 0.0000 0.5000 0.5000 1
Pt2 0.5000 0.0000 0.5000 1
# Size of the total moment in μB per formula unit: 1.820
# Final energy in eV per cell: -204.151
# Space-group type: No. 123

=====

2.
# K3CF meta-GGA SCAN single point on PBEsol structure
data_K3CF
_chemical_formula_sum 'K3 C1 F1'
_space_group_name_H-M_alt 'P 1'
_space_group_IT_number 1
_cell_length_a 5.4552
_cell_length_b 5.4552
_cell_length_c 5.4552
_cell_angle_alpha 90.00
_cell_angle_beta 90.00
_cell_angle_gamma 90.00
loop_
_space_group_symop_operation_xyz
'x,y,z'
loop_
_atom_site_label
_atom_site_fract_x
_atom_site_fract_y
_atom_site_fract_z
_atom_site_occupancy
K1 0.0000 0.0000 0.5000 1
K2 0.0000 0.5000 0.0000 1
K3 0.5000 0.0000 0.0000 1
C1 0.0000 0.0000 0.0000 1
F1 0.5000 0.5000 0.5000 1
# Size of the total moment in μB per formula unit: 2.003
# Formation energy without anion corrections in eV/atom: 0.026
# Final energy in eV per cell: -38.497
# Space-group type: No. 221